[1]
This record from the Alexandria database describes an optimized crystal structure of RbTiAl. The functional is GGA-PBE.

Output
Electronic total energy = -3.2395 eV/atom
Volume = 36.551 Å³ per atom
Crystal system = hexagonal

Cell: 4.6098 4.6098 5.9583 Å, 90.00 90.00 120.00°
Closest atoms and distances in Å follow each position.
Space group P-6m2 (No. 187)
Symmetry-distinct sites (fractional):
1 Rb 0.0000 0.0000 0.0000  6 Ti 3.99, 6 Al 3.99
2 Ti 0.6667 0.3333 0.5000  3 Al 2.66
3 Al 0.3333 0.6667 0.5000  3 Ti 2.66

---

[2]
This record from the Alexandria database describes an optimized crystal structure of RbTiAl. The functional is GGA-PBE.

Output
Electronic total energy = -3.6636 eV/atom
Volume = 30.102 Å³ per atom
Crystal system = orthorhombic

Cell: 9.5603 3.0854 12.2459 Å, 90.00 90.00 90.00°
Closest atoms and distances in Å follow each position.
Space group Pnma (No. 62)
Symmetry-distinct sites (fractional):
1 Rb 0.0591 0.2500 0.1587  2 Rb 3.09
2 Ti 0.0782 0.2500 0.5615  2 Ti 2.62, 3 Al 2.78-2.81
3 Al 0.2130 0.7500 0.4050  3 Ti 2.78-2.81, 2 Al 3.09

---

[3]
This record from the Alexandria database describes an optimized crystal structure of RbTiAl. The functional is GGA-PBE.

Output
Electronic total energy = -4.0337 eV/atom
Volume = 35.698 Å³ per atom
Crystal system = triclinic

Cell: 4.4883 4.4893 12.4540 Å, 95.30 94.62 119.93°
Closest atoms and distances in Å follow each position.
Space group P1 (No. 1)
Symmetry-distinct sites (fractional):
1 Rb 0.0000 0.0000 0.0000  3 Al 3.68, 1 Ti 3.86
2 Rb 0.2943 0.3079 0.6298  3 Al 3.68, 1 Ti 3.86
3 Ti 0.1469 0.1546 0.3148  3 Ti 2.59, 6 Al 2.88
4 Ti 0.4799 0.8205 0.3148  3 Ti 2.59, 6 Al 2.88
5 Al 0.7655 0.4374 0.2125  1 Al 2.51
6 Al 0.8612 0.5375 0.4172  1 Al 2.51

---

[4]
This record from the Alexandria database describes an optimized crystal structure of RbTiAl. The functional is GGA-PBE.

Output
Electronic total energy = -2.9586 eV/atom
Volume = 29.668 Å³ per atom
Crystal system = cubic

Cell: 7.0874 7.0874 7.0874 Å, 90.00 90.00 90.00°
Closest atoms and distances in Å follow each position.
Space group F-43m (No. 216)
Symmetry-distinct sites (fractional):
1 Rb 0.0000 0.0000 0.0000  4 Ti 3.07
2 Ti 0.2500 0.2500 0.7500  4 Rb 3.07, 4 Al 3.07
3 Al 0.0000 0.0000 0.5000  4 Ti 3.07

---

[5]
This record from the Alexandria database describes an optimized crystal structure of RbAl2Tl2. The functional is GGA-PBE.

Output
Electronic total energy = -2.4129 eV/atom
Volume = 28.640 Å³ per atom
Crystal system = tetragonal

Cell: 9.2011 9.2011 3.3829 Å, 90.00 90.00 90.00°
Closest atoms and distances in Å follow each position.
Space group P4/mbm (No. 127)
Symmetry-distinct sites (fractional):
1 Rb 0.0000 0.0000 0.0000  2 Rb 3.38, 4 Tl 3.51
2 Al 0.1371 0.3629 0.5000  6 Tl 3.12-3.27, 2 Al 3.38
3 Tl 0.1479 0.6479 0.0000  6 Al 3.12-3.27, 2 Tl 3.38

---

[6]
This record from the Alexandria database describes an optimized crystal structure of RbAl2Tl2. The functional is GGA-PBE.

Output
Electronic total energy = -2.4340 eV/atom
Volume = 28.553 Å³ per atom
Crystal system = tetragonal

Cell: 9.0588 9.0588 3.4795 Å, 90.00 90.00 90.00°
Closest atoms and distances in Å follow each position.
Space group P4/mbm (No. 127)
Symmetry-distinct sites (fractional):
1 Rb 0.0000 0.0000 0.0000  2 Rb 3.48, 4 Al 3.64, 8 Tl 3.80
2 Al 0.1158 0.3842 0.0000  1 Al 2.97, 6 Tl 3.12-3.29
3 Tl 0.1662 0.6662 0.5000  6 Al 3.12-3.29, 2 Tl 3.48

---

[7]
This record from the Alexandria database describes an optimized crystal structure of RbAl2Tl2. The functional is GGA-PBE.

Output
Electronic total energy = -2.5140 eV/atom
Volume = 29.232 Å³ per atom
Crystal system = tetragonal

Cell: 4.7403 4.7403 13.0091 Å, 90.00 90.00 90.00°
Closest atoms and distances in Å follow each position.
Space group I4/mmm (No. 139)
Symmetry-distinct sites (fractional):
1 Rb 0.0000 0.0000 0.0000  8 Tl 3.70, 8 Al 4.02
2 Al 0.0000 0.5000 0.2500  4 Tl 2.90
3 Tl 0.0000 0.0000 0.3789  4 Al 2.90, 1 Tl 3.15

---

[8]
This record from the Alexandria database describes an optimized crystal structure of RbAlTl3. The functional is GGA-PBE.

Output
Electronic total energy = -1.3570 eV/atom
Volume = 51.089 Å³ per atom
Crystal system = cubic

Cell: 6.3450 6.3450 6.3450 Å, 90.00 90.00 90.00°
Closest atoms and distances in Å follow each position.
Space group Pm-3m (No. 221)
Symmetry-distinct sites (fractional):
1 Rb 0.0000 0.0000 0.0000  6 Tl 3.17
2 Al 0.5000 0.5000 0.5000  12 Tl 4.49
3 Tl 0.0000 0.0000 0.5000  2 Rb 3.17

---

Number 1: energy above the lowest structure with this stoichiometry 0.850 eV per atom, mass density 2.4 g/cm3. Number 2: energy above the lowest structure with this stoichiometry 0.426 eV per atom, mass density 2.9 g/cm3. Number 3: energy above the lowest structure with this stoichiometry 0.056 eV per atom, mass density 2.5 g/cm3. Number 4: energy above the lowest structure with this stoichiometry 1.131 eV per atom, mass density 3.0 g/cm3. Number 5: energy above the lowest structure with this stoichiometry 0.126 eV per atom, mass density 6.4 g/cm3. Number 6: energy above the lowest structure with this stoichiometry 0.105 eV per atom, mass density 6.4 g/cm3. Number 7: energy above the lowest structure with this stoichiometry 0.025 eV per atom, mass density 6.2 g/cm3. Number 8: energy above the lowest structure with this stoichiometry 0.891 eV per atom, mass density 4.7 g/cm3.